! In4SnS8 | the Alexandria database | PBE | relaxed; values from VASP
&SYSTEM
  ibrav = 0, nat = 13, ntyp = 3
/
ATOMIC_SPECIES
In 114.82 In.upf
S 32.06 S.upf
Sn 118.71 Sn.upf
CELL_PARAMETERS angstrom
-6.847 3.323 -0.777
-6.365 -4.081 1.164
-4.304 1.341 6.181
ATOMIC_POSITIONS angstrom
In -2.160 0.624 2.916
In -3.333 1.538 -0.293
S -13.368 0.444 5.013
In -11.026 0.367 4.135
Sn -0.167 0.006 0.063
S -11.009 -0.278 1.671
S -6.456 0.832 4.774
S -7.518 -1.961 2.189
S -9.640 -1.345 5.414
In -3.110 -1.876 0.603
S -9.900 2.639 4.370
S -4.316 0.144 1.619
S -7.766 1.852 1.189
! - Calculated volume: 318 Å³ per cell
! - Raw total energy: -54.357 eV for the cell shown
! - E_form (uncorrected): -0.4908 eV/atom

! InSn3S | the Alexandria database | PBE | relaxed; values from VASP
&SYSTEM
  ibrav = 0, nat = 5, ntyp = 3
/
ATOMIC_SPECIES
S 32.06 S.upf
Sn 118.71 Sn.upf
In 114.82 In.upf
CELL_PARAMETERS angstrom
5.605 0.000 0.000
0.000 5.605 0.000
0.000 0.000 5.605
ATOMIC_POSITIONS angstrom
S 2.802 2.802 2.802
Sn 0.000 0.000 2.802
Sn 0.000 2.802 0.000
Sn 2.802 0.000 0.000
In 0.000 0.000 0.000
! - Calculated volume: 176 Å³ per cell
! - Raw total energy: -15.162 eV for the cell shown
! - Distance to the lowest polymorph of the same formula: 528.2 meV per atom
! - E_form (uncorrected): 0.7424 eV/atom

! In3SnS6 | the Alexandria database | PBE | relaxed; values from VASP
&SYSTEM
  ibrav = 0, nat = 20, ntyp = 3
/
ATOMIC_SPECIES
S 32.06 S.upf
In 114.82 In.upf
Sn 118.71 Sn.upf
CELL_PARAMETERS angstrom
3.771 0.000 0.000
0.000 10.337 -4.448
0.000 -0.275 11.889
ATOMIC_POSITIONS angstrom
S 2.828 9.608 -3.214
In 2.828 4.311 7.788
In 0.943 2.731 5.132
In 2.828 1.920 0.440
S 2.828 7.846 5.296
Sn 0.943 10.090 -1.272
S 2.828 7.603 -0.288
In 2.828 7.331 2.308
S 0.943 5.994 8.453
Sn 2.828 -0.028 8.713
S 0.943 2.459 7.728
In 0.943 8.141 7.000
S 2.828 4.427 5.177
S 0.943 2.216 2.144
S 0.943 9.310 2.631
In 0.943 5.751 -0.347
S 0.943 5.635 2.264
S 0.943 0.454 10.654
S 2.828 4.068 -1.013
S 2.828 0.752 4.810
! - Calculated volume: 459 Å³ per cell
! - Raw total energy: -82.373 eV for the cell shown
! - Distance to the lowest polymorph of the same formula: 0.0 meV per atom
! - E_form (uncorrected): -0.4204 eV/atom

calculated volume of number 1 (In4SnS8)? 318 Å³ per cell